Below is crystalline PaMo2O8 at its relaxed geometry, with properties calculated at the GGA+U level.

The structure in CIF format:
```
data_PaMo2O8
_symmetry_space_group_name_H-M 'C 1 m 1'
_symmetry_Int_Tables_number 8
_symmetry_space_group_name_Hall 'C -2y'
_cell_length_a 10.056
_cell_length_b 6.301
_cell_length_c 6.783
_cell_angle_alpha 90.00
_cell_angle_beta 97.52
_cell_angle_gamma 90.00
loop_
_atom_site_label
_atom_site_type_symbol
_atom_site_fract_x
_atom_site_fract_y
_atom_site_fract_z
_atom_site_occupancy
Pa1 Pa 0.000 0.000 0.000 1
Mo1 Mo 0.131 0.500 0.694 1
Mo2 Mo 0.375 0.000 0.292 1
O1 O 0.066 0.266 0.800 1
O2 O 0.088 0.500 0.430 1
O3 O 0.192 0.000 0.141 1
O4 O 0.310 0.500 0.761 1
O5 O 0.328 0.000 0.527 1
O6 O 0.420 0.262 0.165 1
```

Properties
Total magnetic moment in μB/f.u.: 1.00
Final energy in eV per atom: -7.96


Below is crystalline Pa2MoO11 at its relaxed geometry, with properties calculated at the GGA+U level.

The structure in CIF format:
```
data_Pa2MoO11
_symmetry_space_group_name_H-M 'I b a m'
_symmetry_Int_Tables_number 72
_symmetry_space_group_name_Hall '-I 2 2c'
_cell_length_a 8.106
_cell_length_b 9.604
_cell_length_c 10.788
_cell_angle_alpha 90.00
_cell_angle_beta 90.00
_cell_angle_gamma 90.00
loop_
_atom_site_label
_atom_site_type_symbol
_atom_site_fract_x
_atom_site_fract_y
_atom_site_fract_z
_atom_site_occupancy
Pa1 Pa 0.143 0.186 0.000 1
Mo1 Mo 0.000 0.500 0.250 1
O1 O 0.000 0.000 0.000 1
O2 O 0.090 0.340 0.152 1
O3 O 0.132 0.226 0.500 1
O4 O 0.197 0.447 0.357 1
```

Properties
Total magnetic moment in μB/f.u.: 6.00
Final energy in eV per atom: -7.38


Below is crystalline Pa2MoO6 at its relaxed geometry, with properties calculated at the GGA+U level.

The structure in CIF format:
```
data_Pa2MoO6
_symmetry_space_group_name_H-M 'P 1 21/c 1'
_symmetry_Int_Tables_number 14
_symmetry_space_group_name_Hall '-P 2ybc'
_cell_length_a 5.607
_cell_length_b 5.636
_cell_length_c 9.129
_cell_angle_alpha 90.00
_cell_angle_beta 118.02
_cell_angle_gamma 90.00
loop_
_atom_site_label
_atom_site_type_symbol
_atom_site_fract_x
_atom_site_fract_y
_atom_site_fract_z
_atom_site_occupancy
Pa1 Pa 0.188 0.096 0.221 1
Mo1 Mo 0.500 0.000 0.000 1
O1 O 0.125 0.173 0.944 1
O2 O 0.208 0.708 0.885 1
O3 O 0.460 0.101 0.764 1
```

Properties
Total magnetic moment in μB/f.u.: 1.93
Final energy in eV per atom: -9.13


Below is crystalline PaMoO6 at its relaxed geometry, with properties calculated at the GGA+U level.

The structure in CIF format:
```
data_PaMoO6
_symmetry_space_group_name_H-M 'P -1'
_symmetry_Int_Tables_number 2
_symmetry_space_group_name_Hall '-P 1'
_cell_length_a 5.185
_cell_length_b 5.245
_cell_length_c 5.325
_cell_angle_alpha 60.60
_cell_angle_beta 83.65
_cell_angle_gamma 76.51
loop_
_atom_site_label
_atom_site_type_symbol
_atom_site_fract_x
_atom_site_fract_y
_atom_site_fract_z
_atom_site_occupancy
Pa1 Pa 0.000 0.000 0.000 1
Mo1 Mo 0.500 0.500 0.000 1
O1 O 0.266 0.861 0.726 1
O2 O 0.268 0.587 0.274 1
O3 O 0.269 0.260 0.000 1
```

Properties
Total magnetic moment in μB/f.u.: 0.89
Energy above the most stable polymorph in this dataset in meV/atom: 101
Final energy in eV per atom: -7.88


Below is crystalline Pa5Mo3O12 at its relaxed geometry, with properties calculated at the GGA+U level.

The structure in CIF format:
```
data_Pa5Mo3O12
_symmetry_space_group_name_H-M 'I a -3 d'
_symmetry_Int_Tables_number 230
_symmetry_space_group_name_Hall '-I 4bd 2c 3'
_cell_length_a 13.599
_cell_length_b 13.599
_cell_length_c 13.599
_cell_angle_alpha 90.00
_cell_angle_beta 90.00
_cell_angle_gamma 90.00
loop_
_atom_site_label
_atom_site_type_symbol
_atom_site_fract_x
_atom_site_fract_y
_atom_site_fract_z
_atom_site_occupancy
Pa1 Pa 0.000 0.000 0.000 1
Pa2 Pa 0.000 0.250 0.375 1
Mo1 Mo 0.000 0.250 0.125 1
O1 O 0.033 0.076 0.643 1
```

Properties
Total magnetic moment in μB/f.u.: 7.06
Final energy in eV per atom: -8.69


Below is crystalline PaMoPbO6 at its relaxed geometry, with properties calculated at the GGA+U level.

The structure in CIF format:
```
data_PaMoPbO6
_symmetry_space_group_name_H-M 'P -3 1 c'
_symmetry_Int_Tables_number 163
_symmetry_space_group_name_Hall '-P 3 2c'
_cell_length_a 5.6888
_cell_length_b 5.6888
_cell_length_c 10.4007
_cell_angle_alpha 90.00
_cell_angle_beta 90.00
_cell_angle_gamma 120.00
loop_
_atom_site_label
_atom_site_type_symbol
_atom_site_fract_x
_atom_site_fract_y
_atom_site_fract_z
_atom_site_occupancy
Pa1 Pa 0.3333 0.6667 0.2500 1
Mo1 Mo 0.3333 0.6667 0.7500 1
Pb1 Pb 0.0000 0.0000 0.0000 1
O1 O 0.0221 0.3815 0.6465 1
```

Properties
Total magnetic moment in μB/f.u.: 1.00
Final energy in eV per atom: -7.84


Below is crystalline Pa2MoPdO8 at its relaxed geometry, with properties calculated at the GGA+U level.

The structure in CIF format:
```
data_Pa2MoPdO8
_symmetry_space_group_name_H-M 'I -4'
_symmetry_Int_Tables_number 82
_symmetry_space_group_name_Hall 'I -4'
_cell_length_a 5.258
_cell_length_b 5.258
_cell_length_c 10.738
_cell_angle_alpha 90.00
_cell_angle_beta 90.00
_cell_angle_gamma 90.00
loop_
_atom_site_label
_atom_site_type_symbol
_atom_site_fract_x
_atom_site_fract_y
_atom_site_fract_z
_atom_site_occupancy
Pa1 Pa 0.000 0.000 0.000 1
Pa2 Pa 0.000 0.500 0.250 1
Mo1 Mo 0.000 0.500 0.750 1
Pd1 Pd 0.000 0.000 0.500 1
O1 O 0.237 0.250 0.869 1
O2 O 0.239 0.751 0.869 1
```

Properties
Total magnetic moment in μB/f.u.: 4.01
Final energy in eV per atom: -8.32


Below is crystalline Pm2PaMoO8 at its relaxed geometry, with properties calculated at the GGA+U level.

The structure in CIF format:
```
data_Pm2PaMoO8
_symmetry_space_group_name_H-M 'C m m m'
_symmetry_Int_Tables_number 65
_symmetry_space_group_name_Hall '-C 2 2'
_cell_length_a 7.165
_cell_length_b 7.358
_cell_length_c 6.954
_cell_angle_alpha 90.00
_cell_angle_beta 90.00
_cell_angle_gamma 90.00
loop_
_atom_site_label
_atom_site_type_symbol
_atom_site_fract_x
_atom_site_fract_y
_atom_site_fract_z
_atom_site_occupancy
Pm1 Pm 0.000 0.000 0.244 1
Pa1 Pa 0.000 0.500 0.500 1
Mo1 Mo 0.000 0.500 0.000 1
O1 O 0.000 0.322 0.237 1
O2 O 0.203 0.000 0.500 1
O3 O 0.233 0.000 0.000 1
```

Properties
Total magnetic moment in μB/f.u.: 1.00
Final energy in eV per atom: -8.43


Below is crystalline Pr2PaMoO8 at its relaxed geometry, with properties calculated at the GGA+U level.

The structure in CIF format:
```
data_Pr2PaMoO8
_symmetry_space_group_name_H-M 'C 1 2/m 1'
_symmetry_Int_Tables_number 12
_symmetry_space_group_name_Hall '-C 2y'
_cell_length_a 7.249
_cell_length_b 7.443
_cell_length_c 7.003
_cell_angle_alpha 90.00
_cell_angle_beta 90.02
_cell_angle_gamma 90.00
loop_
_atom_site_label
_atom_site_type_symbol
_atom_site_fract_x
_atom_site_fract_y
_atom_site_fract_z
_atom_site_occupancy
Pr1 Pr 0.002 0.000 0.256 1
Pa1 Pa 0.000 0.500 0.000 1
Mo1 Mo 0.000 0.500 0.500 1
O1 O 0.001 0.324 0.737 1
O2 O 0.206 0.000 0.999 1
O3 O 0.237 0.000 0.501 1
```

Properties
Total magnetic moment in μB/f.u.: 1.00
Final energy in eV per atom: -8.39


Below is crystalline PuPaMoO6 at its relaxed geometry, with properties calculated at the GGA+U level.

The structure in CIF format:
```
data_PuPaMoO6
_symmetry_space_group_name_H-M 'P -3 1 c'
_symmetry_Int_Tables_number 163
_symmetry_space_group_name_Hall '-P 3 2c'
_cell_length_a 5.5860
_cell_length_b 5.5860
_cell_length_c 9.6961
_cell_angle_alpha 90.00
_cell_angle_beta 90.00
_cell_angle_gamma 120.00
loop_
_atom_site_label
_atom_site_type_symbol
_atom_site_fract_x
_atom_site_fract_y
_atom_site_fract_z
_atom_site_occupancy
Pu1 Pu 0.0000 0.0000 0.0000 1
Pa1 Pa 0.3333 0.6667 0.2500 1
Mo1 Mo 0.3333 0.6667 0.7500 1
O1 O 0.0061 0.3396 0.6329 1
```

Properties
Total magnetic moment in μB/f.u.: 7.00
Final energy in eV per atom: -9.56


Below is crystalline RbPa2MoO8 at its relaxed geometry, with properties calculated at the GGA+U level.

The structure in CIF format:
```
data_RbPa2MoO8
_symmetry_space_group_name_H-M 'P -1'
_symmetry_Int_Tables_number 2
_symmetry_space_group_name_Hall '-P 1'
_cell_length_a 5.087
_cell_length_b 5.155
_cell_length_c 7.186
_cell_angle_alpha 89.56
_cell_angle_beta 89.33
_cell_angle_gamma 87.87
loop_
_atom_site_label
_atom_site_type_symbol
_atom_site_fract_x
_atom_site_fract_y
_atom_site_fract_z
_atom_site_occupancy
Rb1 Rb 0.000 0.000 0.000 1
Pa1 Pa 0.495 0.501 0.252 1
Mo1 Mo 0.000 0.000 0.500 1
O1 O 0.200 0.814 0.684 1
O2 O 0.221 0.805 0.304 1
O3 O 0.290 0.304 0.498 1
O4 O 0.313 0.366 0.998 1
```

Properties
Total magnetic moment in μB/f.u.: 1.00
Final energy in eV per atom: -8.22


Below is crystalline Rb4Pa3MoO12 at its relaxed geometry, with properties calculated at the GGA+U level.

The structure in CIF format:
```
data_Rb4Pa3MoO12
_symmetry_space_group_name_H-M 'I m -3 m'
_symmetry_Int_Tables_number 229
_symmetry_space_group_name_Hall '-I 4 2 3'
_cell_length_a 8.651
_cell_length_b 8.651
_cell_length_c 8.651
_cell_angle_alpha 90.00
_cell_angle_beta 90.00
_cell_angle_gamma 90.00
loop_
_atom_site_label
_atom_site_type_symbol
_atom_site_fract_x
_atom_site_fract_y
_atom_site_fract_z
_atom_site_occupancy
Rb1 Rb 0.250 0.250 0.250 1
Pa1 Pa 0.000 0.000 0.500 1
Mo1 Mo 0.000 0.000 0.000 1
O1 O 0.000 0.000 0.238 1
O2 O 0.000 0.250 0.500 1
```

Properties
Total magnetic moment in μB/f.u.: 1.00
Final energy in eV per atom: -7.66